This record from Alexandria describes an optimized crystal structure of Li2PbF6. The functional is PBE-GGA.

```
data_Li2PbF6
_chemical_formula_sum 'Li6 Pb3 F18'
_cell_length_a 5.3987
_cell_length_b 5.3987
_cell_length_c 14.1762
_cell_angle_alpha 90.00
_cell_angle_beta 90.00
_cell_angle_gamma 120.00
_symmetry_space_group_name_H-M 'R 3'
_symmetry_Int_Tables_number 146
_symmetry_space_group_name_Hall 'R 3'
loop_
_atom_site_label
_atom_site_fract_x
_atom_site_fract_y
_atom_site_fract_z
_atom_site_occupancy
Li1 0.0000 0.0000 0.0000 1
Li2 0.0000 0.0000 0.1986 1
Pb1 0.0000 0.0000 0.6877 1
F1 0.0077 0.3362 0.2713 1
F2 0.0640 0.7043 0.7643 1
```

## Properties
formation energy without anion corrections = -2.399 eV per atom
N(E_F) = 0.00 states/eV per cell
mass density = 4.66 g/cm3
energy above the most stable polymorph in this dataset = 0.000 eV per atom



This record from Alexandria describes an optimized crystal structure of KTl3Os2O9. The functional is PBE-GGA.

```
data_KTl3Os2O9
_chemical_formula_sum 'K1 Tl3 Os2 O9'
_cell_length_a 5.8213
_cell_length_b 5.8213
_cell_length_c 8.2190
_cell_angle_alpha 90.00
_cell_angle_beta 90.00
_cell_angle_gamma 120.00
_symmetry_space_group_name_H-M 'P -3 m 1'
_symmetry_Int_Tables_number 164
_symmetry_space_group_name_Hall '-P 3 2"'
loop_
_atom_site_label
_atom_site_fract_x
_atom_site_fract_y
_atom_site_fract_z
_atom_site_occupancy
K1 0.0000 0.0000 0.0000 1
Tl1 0.0000 0.0000 0.5000 1
Tl2 0.3333 0.6667 0.2087 1
Os1 0.3333 0.6667 0.6444 1
O1 0.0000 0.5000 0.5000 1
O2 0.1805 0.3610 0.7613 1
```

## Properties
formation energy without anion corrections = -0.959 eV per atom
N(E_F) = 8.30 states/eV per cell
mass density = 8.10 g/cm3



This record from Alexandria describes an optimized crystal structure of Ca3MnAg. The functional is PBE-GGA.

```
data_Ca3MnAg
_chemical_formula_sum 'Ca3 Mn1 Ag1'
_cell_length_a 5.680
_cell_length_b 5.680
_cell_length_c 5.680
_cell_angle_alpha 90.00
_cell_angle_beta 90.00
_cell_angle_gamma 90.00
_symmetry_space_group_name_H-M 'P m -3 m'
_symmetry_Int_Tables_number 221
_symmetry_space_group_name_Hall '-P 4 2 3'
loop_
_atom_site_label
_atom_site_fract_x
_atom_site_fract_y
_atom_site_fract_z
_atom_site_occupancy
Ca1 0.000 0.000 0.500 1
Mn1 0.500 0.500 0.500 1
Ag1 0.000 0.000 0.000 1
```

## Properties
N(E_F) = 8.72 states/eV per cell
mass density = 2.56 g/cm3
energy above the most stable polymorph in this dataset = 0.000 eV per atom
E_form = 192 kJ/mol of formula units